VASP calculation (meta-GGA SCAN) on Ba2YCu3O8 at its PBEsol-relaxed geometry.

Formation energy from raw total energies (eV/atom): -1.9081
Space group: P4/mmm, No. 123
Total energy (eV for the cell shown): -229.1

Unit cell a=3.8692 b=3.8692 c=11.3541 alpha=90.00 beta=90.00 gamma=90.00
Element x y z (fractional)
Ba: 0.0000 0.0000 0.1709
Ba: 0.0000 0.0000 0.8291
Y: 0.0000 0.0000 0.5000
Cu: 0.5000 0.5000 0.0000
Cu: 0.5000 0.5000 0.3468
Cu: 0.5000 0.5000 0.6532
O: 0.0000 0.5000 0.0000
O: 0.0000 0.5000 0.3781
O: 0.0000 0.5000 0.6219
O: 0.5000 0.0000 0.0000
O: 0.5000 0.0000 0.3781
O: 0.5000 0.0000 0.6219
O: 0.5000 0.5000 0.1725
O: 0.5000 0.5000 0.8275

***

VASP calculation (meta-GGA SCAN) on BaYCu2O5 at its PBEsol-relaxed geometry.

Formation energy from raw total energies (eV/atom): -2.1334
Space group: P4/mmm, No. 123
Total energy (eV for the cell shown): -148.1

Unit cell a=3.8451 b=3.8451 c=7.3813 alpha=90.00 beta=90.00 gamma=90.00
Element x y z (fractional)
Ba: 0.0000 0.0000 0.0000
Y: 0.0000 0.0000 0.5000
Cu: 0.5000 0.5000 0.2687
Cu: 0.5000 0.5000 0.7313
O: 0.0000 0.5000 0.3112
O: 0.0000 0.5000 0.6888
O: 0.5000 0.0000 0.3112
O: 0.5000 0.0000 0.6888
O: 0.5000 0.5000 0.0000

***

VASP calculation (meta-GGA SCAN) on Ba2YCu4O8 at its PBEsol-relaxed geometry.

Formation energy from raw total energies (eV/atom): -1.9090
Space group: Cmmm, No. 65
Total energy (eV for the cell shown): -246.2

Unit cell a=13.5718 b=13.5718 c=3.8303 alpha=90.00 beta=90.00 gamma=163.71
Element x y z (fractional)
Ba: 0.1357 0.8643 0.0000
Ba: 0.8643 0.1357 0.0000
Y: 0.0000 0.0000 0.0000
Cu: 0.2876 0.7124 0.5000
Cu: 0.4381 0.5619 0.5000
Cu: 0.5619 0.4381 0.5000
Cu: 0.7124 0.2876 0.5000
O: 0.0524 0.9476 0.5000
O: 0.2179 0.7821 0.5000
O: 0.3556 0.6444 0.5000
O: 0.4474 0.5526 0.0000
O: 0.5526 0.4474 0.0000
O: 0.6444 0.3556 0.5000
O: 0.7821 0.2179 0.5000
O: 0.9476 0.0524 0.5000

***

Total magnetic moment readings, ordered: 0.00 1.39 0.00 Bohr magnetons per cell